PmNd2Zn2In2 | Alexandria | PBE | relaxed; E = -3.493 eV per atom; total magnetic moment = 0.00 μB per formula unit; energy of formation = -306 meV per atom
1.0
2.3819 1.3752 9.4257
-2.3819 1.3752 9.4257
0.0000 -2.7504 9.4257
Pm Nd Zn In
1 2 2 2
Direct
0.0000 0.0000 0.0000
0.1278 0.1278 0.1278
0.8722 0.8722 0.8722
0.3978 0.3978 0.3978
0.6022 0.6022 0.6022
0.2654 0.2654 0.2654
0.7346 0.7346 0.7346